PrTlHgSb, relaxed, DFT PBE-GGA; raw total energy = -3.28 eV per atom; SG = F-43m (216); total magnetic moment = 0.00 μB per atom
1.0
-2.973 4.337 1.587
-5.406 0.123 -0.960
-3.541 -0.477 4.171
Pr Sb Tl Hg
1 1 1 1
Cartesian
-5.960 1.992 2.399 Pr
-8.940 2.987 3.598 Sb
0.000 0.000 0.000 Tl
-2.980 0.996 1.199 Hg